AlSiNi2: PBEsol geometry, meta-GGA SCAN.

Properties
Total magnetic moment, μB per formula unit: 0.0
Volume, Å³ per cell: 45.1
Formation energy (no corrections), meV/atom: -614
Uncorrected energy, eV per cell: -52.6

Lattice parameters (Å, degrees): 2.8047 2.8045 5.7279 90.00 90.01 90.00
Element x y z (fractional)
Ni 0.0000 0.0000 0.7731
Ni 0.0000 0.0000 0.2269
Si 0.5000 0.5000 0.0000
Al 0.5000 0.5000 0.5000

***

AlSiNi: PBEsol geometry, meta-GGA SCAN.

Properties
Total magnetic moment, μB per formula unit: 0.0
Volume, Å³ per cell: 116.6
Formation energy (no corrections), meV/atom: -27
Uncorrected energy, eV per cell: -102.1

Lattice parameters (Å, degrees): 2.5675 7.2430 7.2430 120.00 90.00 90.00
Element x y z (fractional)
Al 0.0000 0.0000 0.7046
Al 0.0000 0.7046 0.0000
Al 0.0000 0.2954 0.2954
Ni 0.5000 0.0000 0.4107
Ni 0.5000 0.4107 0.0000
Ni 0.5000 0.5893 0.5893
Si 0.5000 0.0000 0.0000
Si 0.0000 0.3333 0.6667
Si 0.0000 0.6667 0.3333

***

Al2SiNi3: PBEsol geometry, meta-GGA SCAN.

Properties
Total magnetic moment, μB per formula unit: 0.7
Volume, Å³ per cell: 79.6
Formation energy (no corrections), meV/atom: -75
Uncorrected energy, eV per cell: -74.5

Lattice parameters (Å, degrees): 3.8959 4.8578 4.8578 120.00 90.00 90.00
Site moments in Bohr magnetons follow the coordinates.
Element x y z (fractional)
Al 0.0000 0.6667 0.3333  -0.01
Al 0.0000 0.3333 0.6667  -0.01
Ni 0.5000 0.5000 0.5000  0.24
Ni 0.5000 0.0000 0.5000  0.24
Ni 0.5000 0.5000 0.0000  0.24
Si 0.0000 0.0000 0.0000  0.03